Material: PmTm2MoO8
Method: DFT, PBE with a Hubbard U
State: optimized geometry

Properties
- DFT total energy: -92.71 eV per cell
- Crystal system: monoclinic

Cell: 5.002 5.001 6.873 Å, 90.00 90.00 90.50°
Site moments in Bohr magnetons follow the coordinates.
Atoms (fractional coordinates):
Mo (0.000, 0.000, 0.000)  -0.05
O (0.814, 0.187, 0.207)  0.04
O (0.320, 0.318, 0.500)  0.21
O (0.814, 0.187, 0.793)  0.04
Tm (0.500, 0.500, 0.758)  -0.01
O (0.720, 0.721, 0.000)  0.09
O (0.280, 0.279, 0.000)  0.09
Tm (0.500, 0.500, 0.242)  -0.01
O (0.680, 0.682, 0.500)  0.21
O (0.186, 0.813, 0.793)  0.04
Pm (0.000, 0.000, 0.500)  0.02
O (0.186, 0.813, 0.207)  0.04